Below is an optimized crystal structure of Ti3AuN, with properties calculated at the GGA-PBE level.

abc: 3.9405 3.9405 13.7070
angles: 90.00 90.00 120.00
Fractional positions:
1 N 0.0000 0.0000 0.0000
2 N 0.0000 0.0000 0.5000
3 Au 0.3333 0.6667 0.7500
4 Au 0.6667 0.3333 0.2500
5 Ti 0.0000 0.0000 0.2500
6 Ti 0.0000 0.0000 0.7500
7 Ti 0.3333 0.6667 0.9438
8 Ti 0.3333 0.6667 0.5562
9 Ti 0.6667 0.3333 0.4438
10 Ti 0.6667 0.3333 0.0562

Summary:
Formation energy without anion corrections, meV per atom: 363
Space-group type: P6_3/mmc, No. 194

Below is an optimized crystal structure of In2IrRu, with properties calculated at the GGA-PBE level.

abc: 4.5547 4.5547 3.2748
angles: 90.00 90.00 90.00
Fractional positions:
1 In 0.0000 0.0000 0.0000
2 In 0.5000 0.5000 0.0000
3 Ir 0.5000 0.0000 0.5000
4 Ru 0.0000 0.5000 0.5000

Summary:
Total energy, eV/atom: -5.92
Space-group type: P4/mmm, No. 123

Below is an optimized crystal structure of Pm2Pd4Se5, with properties calculated at the GGA-PBE level.

abc: 4.2123 4.2123 16.8300
angles: 82.81 82.81 60.00
Fractional positions:
1 Pm 0.1287 0.1287 0.6138
2 Pm 0.8713 0.8713 0.3862
3 Pd 0.6832 0.6832 0.9503
4 Pd 0.5804 0.5804 0.2589
5 Pd 0.4196 0.4196 0.7411
6 Pd 0.3168 0.3168 0.0497
7 Se 0.7639 0.7639 0.7082
8 Se 0.6325 0.6325 0.1025
9 Se 0.5000 0.5000 0.5000
10 Se 0.3675 0.3675 0.8975
11 Se 0.2361 0.2361 0.2918

Summary:
Formation energy without anion corrections, meV per atom: -885
Space-group type: R-3m, No. 166

Below is an optimized crystal structure of RbNaTl3, with properties calculated at the GGA-PBE level.

abc: 5.8114 8.0684 8.6094
angles: 117.94 90.00 90.00
Fractional positions:
1 Rb 0.2500 0.3976 0.7951
2 Rb 0.7500 0.6024 0.2049
3 Na 0.0000 0.0000 0.0000
4 Na 0.5000 0.0000 0.0000
5 Tl 0.2500 0.7984 0.5967
6 Tl 0.7500 0.2016 0.4033
7 Tl 0.2500 0.3702 0.3181
8 Tl 0.7500 0.6298 0.6819
9 Tl 0.2500 0.9479 0.3181
10 Tl 0.7500 0.0521 0.6819

Summary:
Total energy, eV/atom: -1.93
Space-group type: Cmcm, No. 63

Below is an optimized crystal structure of CeZrReTc, with properties calculated at the GGA-PBE level.

abc: 4.7719 4.7719 4.7719
angles: 60.00 60.00 60.00
Fractional positions:
1 Re 0.0000 0.0000 0.0000
2 Zr 0.2500 0.2500 0.2500
3 Tc 0.5000 0.5000 0.5000
4 Ce 0.7500 0.7500 0.7500

Summary:
Total energy, eV/atom: -9.38
Space-group type: F-43m, No. 216

Below is an optimized crystal structure of TeC3Cl, with properties calculated at the GGA-PBE level.

abc: 3.9811 3.9811 3.9811
angles: 90.00 90.00 90.00
Fractional positions:
1 C 0.0000 0.5000 0.0000
2 C 0.0000 0.0000 0.5000
3 C 0.5000 0.0000 0.0000
4 Te 0.5000 0.5000 0.5000
5 Cl 0.0000 0.0000 0.0000

Summary:
Formation energy without anion corrections, meV per atom: 3309
Space-group type: Pm-3m, No. 221

Below is an optimized crystal structure of SrSbOs2, with properties calculated at the GGA-PBE level.

abc: 4.3319 3.0738 6.5626
angles: 75.59 90.00 90.00
Fractional positions:
1 Os 0.0000 0.0714 0.0620
2 Os 0.0000 0.4286 0.4380
3 Sb 0.5000 0.2500 0.2500
4 Sr 0.5000 0.7500 0.7500

Summary:
Formation energy without anion corrections, meV per atom: 770
Space-group type: P2/m, No. 10

Below is an optimized crystal structure of SiW3, with properties calculated at the GGA-PBE level.

abc: 4.4183 4.4183 4.4183
angles: 60.00 60.00 60.00
Fractional positions:
1 Si 0.0000 0.0000 0.0000
2 W 0.7500 0.7500 0.7500
3 W 0.5000 0.5000 0.5000
4 W 0.2500 0.2500 0.2500

Summary:
Formation energy without anion corrections, meV per atom: 181
Space-group type: Fm-3m, No. 225

Below is an optimized crystal structure of ReAuCl, with properties calculated at the GGA-PBE level.

abc: 2.9528 2.9528 7.2612
angles: 90.00 90.00 120.00
Fractional positions:
1 Au 0.0000 0.0000 0.9530
2 Cl 0.6667 0.3333 0.4010
3 Re 0.3333 0.6667 0.6460

Summary:
Formation energy without anion corrections, meV per atom: 499
Space-group type: P3m1, No. 156

Below is an optimized crystal structure of ZnPN2, with properties calculated at the GGA-PBE level.

abc: 3.4707 3.5633 5.1052
angles: 84.04 96.16 131.92
Fractional positions:
1 Zn 0.7112 0.5068 0.6777
2 P 0.3967 0.8482 0.2170
3 N 0.7574 0.4624 0.0866
4 N 0.4120 0.8321 0.5375

Summary:
Formation energy without anion corrections, meV per atom: 90
Space-group type: P1, No. 1

Below is an optimized crystal structure of BaAl3Pt, with properties calculated at the GGA-PBE level.

abc: 5.6983 5.6983 5.6983
angles: 90.00 90.00 90.00
Fractional positions:
1 Ba 0.0000 0.0000 0.0000
2 Pt 0.5000 0.5000 0.5000
3 Al 0.0000 0.5000 0.0000
4 Al 0.0000 0.0000 0.5000
5 Al 0.5000 0.0000 0.0000

Summary:
Total energy, eV/atom: -1.92
Space-group type: Pm-3m, No. 221

Below is an optimized crystal structure of Ba2CaMn2, with properties calculated at the GGA-PBE level.

abc: 5.0817 5.0817 7.9852
angles: 71.45 71.45 90.00
Fractional positions:
1 Ca 0.0000 0.0000 0.0000
2 Mn 0.4131 0.4131 0.1739
3 Mn 0.5869 0.5869 0.8261
4 Ba 0.7500 0.2500 0.5000
5 Ba 0.2500 0.7500 0.5000

Summary:
Total energy, eV/atom: -4.12
Space-group type: I4/mmm, No. 139

Below is an optimized crystal structure of ReSn2Pd, with properties calculated at the GGA-PBE level.

abc: 4.6907 4.6907 4.6907
angles: 60.00 60.00 60.00
Fractional positions:
1 Re 0.5000 0.5000 0.5000
2 Sn 0.2500 0.2500 0.2500
3 Sn 0.7500 0.7500 0.7500
4 Pd 0.0000 0.0000 0.0000

Summary:
Total energy, eV/atom: -6.17
Space-group type: Fm-3m, No. 225

Below is an optimized crystal structure of LaThNiAg, with properties calculated at the GGA-PBE level.

abc: 5.1774 5.1774 5.1774
angles: 60.00 60.00 60.00
Fractional positions:
1 Ni 0.7500 0.7500 0.7500
2 Ag 0.2500 0.2500 0.2500
3 Th 0.0000 0.0000 0.0000
4 La 0.5000 0.5000 0.5000

Summary:
Total energy, eV/atom: -5.36
Space-group type: F-43m, No. 216

Below is an optimized crystal structure of MgCd2SbRh, with properties calculated at the GGA-PBE level.

abc: 5.0645 5.1869 5.0645
angles: 90.00 90.00 90.00
Fractional positions:
1 Sb 0.0000 0.5000 0.0000
2 Mg 0.0000 0.0000 0.0000
3 Rh 0.5000 0.5000 0.5000
4 Cd 0.0000 0.0000 0.5000
5 Cd 0.5000 0.0000 0.0000

Summary:
Formation energy without anion corrections, meV per atom: 941
Space-group type: P4/mmm, No. 123

Below is an optimized crystal structure of Pu5HfAs6, with properties calculated at the GGA-PBE level.

abc: 7.0757 7.0798 7.0775
angles: 59.99 80.39 70.49
Fractional positions:
1 As 0.7593 0.0800 0.3214
2 As 0.2407 0.5986 0.3214
3 As 0.2448 0.2391 0.0000
4 As 0.7552 0.7609 0.0000
5 As 0.7593 0.4014 0.6786
6 As 0.2407 0.9200 0.6786
7 Hf 0.0000 0.0000 0.0000
8 Pu 0.5000 0.1703 0.6595
9 Pu 0.0000 0.3344 0.3313
10 Pu 0.5000 0.5000 0.0000
11 Pu 0.0000 0.6656 0.6687
12 Pu 0.5000 0.8297 0.3405

Summary:
Total energy, eV/atom: -10.16
Space-group type: C2/m, No. 12

Below is an optimized crystal structure of NaCeP4O12, with properties calculated at the GGA-PBE level.

abc: 13.3777 7.3408 12.4785
angles: 54.23 90.00 90.00
Fractional positions:
1 Na 0.2211 0.4356 0.0639
2 Na 0.7789 0.5644 0.9361
3 Na 0.7211 0.5644 0.4361
4 Na 0.2789 0.4356 0.5639
5 Ce 0.2200 0.0352 0.9778
6 Ce 0.2800 0.0352 0.4778
7 Ce 0.7200 0.9648 0.5222
8 Ce 0.7800 0.9648 0.0222
9 P 0.6005 0.4941 0.2577
10 P 0.6138 0.3844 0.7345
11 P 0.1138 0.6156 0.7655
12 P 0.9095 0.9297 0.2993
13 P 0.8736 0.1624 0.6953
14 P 0.8995 0.4941 0.7577
15 P 0.8862 0.3844 0.2345
16 P 0.1005 0.5059 0.2423
17 P 0.1264 0.8376 0.3047
18 P 0.4095 0.0703 0.2007
19 P 0.3995 0.5059 0.7423
20 P 0.6264 0.1624 0.1953
21 P 0.3736 0.8376 0.8047
22 P 0.3862 0.6156 0.2655
23 P 0.0905 0.0703 0.7007
24 P 0.5905 0.9297 0.7993
25 O 0.6638 0.7005 0.2048
26 O 0.7057 0.1855 0.1028
27 O 0.6219 0.4056 0.1689
28 O 0.4201 0.7999 0.2897
29 O 0.8139 0.2849 0.3470
30 O 0.5203 0.1506 0.1379
31 O 0.1861 0.7151 0.6530
32 O 0.0799 0.7999 0.7897
33 O 0.1342 0.0194 0.1593
34 O 0.3139 0.7151 0.1530
35 O 0.4867 0.5715 0.2147
36 O 0.9867 0.4285 0.2853
37 O 0.8781 0.4056 0.6689
38 O 0.1219 0.5944 0.3311
39 O 0.9201 0.2001 0.2103
40 O 0.6607 0.8432 0.9134
41 O 0.8888 0.8673 0.2062
42 O 0.3542 0.4113 0.3977
43 O 0.3888 0.1327 0.2938
44 O 0.1607 0.1568 0.5866
45 O 0.6458 0.5887 0.6023
46 O 0.8658 0.9806 0.8407
47 O 0.5133 0.4285 0.7853
48 O 0.6099 0.3122 0.4035
49 O 0.1638 0.2995 0.2952
50 O 0.8542 0.5887 0.1023
51 O 0.3658 0.0194 0.6593
52 O 0.6342 0.9806 0.3407
53 O 0.0203 0.8494 0.3621
54 O 0.2943 0.8145 0.8972
55 O 0.7943 0.1855 0.6028
56 O 0.8393 0.8432 0.4134
57 O 0.1099 0.6878 0.0965
58 O 0.1458 0.4113 0.8977
59 O 0.3901 0.6878 0.5965
60 O 0.3781 0.5944 0.8311
61 O 0.3362 0.2995 0.7952
62 O 0.8901 0.3122 0.9035
63 O 0.0133 0.5715 0.7147
64 O 0.3393 0.1568 0.0866
65 O 0.6112 0.8673 0.7062
66 O 0.2057 0.8145 0.3972
67 O 0.4797 0.8494 0.8621
68 O 0.5799 0.2001 0.7103
69 O 0.8362 0.7005 0.7048
70 O 0.1112 0.1327 0.7938
71 O 0.9797 0.1506 0.6379
72 O 0.6861 0.2849 0.8470

Summary:
Formation energy without anion corrections, meV per atom: -2412
Space-group type: P2_1/c, No. 14

Below is an optimized crystal structure of NaPr4Se5, with properties calculated at the GGA-PBE level.

abc: 6.0074 7.3859 7.3859
angles: 80.48 66.00 66.00
Fractional positions:
1 Na 0.0011 0.0000 0.0000
2 Pr 0.3988 0.4012 0.8032
3 Pr 0.8000 0.8032 0.5988
4 Pr 0.2020 0.1968 0.4012
5 Pr 0.6033 0.5988 0.1968
6 Se 0.9042 0.3945 0.7994
7 Se 0.2986 0.7994 0.6055
8 Se 0.7035 0.2006 0.3945
9 Se 0.0980 0.6055 0.2006
10 Se 0.5008 0.0000 0.0000

Summary:
Formation energy without anion corrections, meV per atom: -1785
Space-group type: I4/m, No. 87

Below is an optimized crystal structure of Sc2Cu2Ag, with properties calculated at the GGA-PBE level.

abc: 7.1750 7.1750 3.4295
angles: 90.00 90.00 90.00
Fractional positions:
1 Sc 0.1717 0.6717 0.5000
2 Sc 0.6717 0.8283 0.5000
3 Sc 0.8283 0.3283 0.5000
4 Sc 0.3283 0.1717 0.5000
5 Cu 0.3764 0.8764 0.0000
6 Cu 0.8764 0.6236 0.0000
7 Cu 0.6236 0.1236 0.0000
8 Cu 0.1236 0.3764 0.0000
9 Ag 0.0000 0.0000 0.0000
10 Ag 0.5000 0.5000 0.0000

Summary:
Total energy, eV/atom: -4.99
Space-group type: P4/mbm, No. 127

Below is an optimized crystal structure of Nd4SnSeS2, with properties calculated at the GGA-PBE level.

abc: 4.2276 7.3475 7.3408
angles: 70.50 90.00 90.00
Fractional positions:
1 Nd 0.0000 0.7694 0.7381
2 Nd 0.0000 0.2306 0.2619
3 Nd 0.5000 0.7663 0.2470
4 Nd 0.5000 0.2337 0.7530
5 Sn 0.5000 0.5000 0.0000
6 Se 0.0000 0.5000 0.5000
7 S 0.0000 0.0000 0.0000
8 S 0.5000 0.0000 0.5000

Summary:
Formation energy without anion corrections, meV per atom: -1637
Space-group type: P2/m, No. 10

Below is an optimized crystal structure of TiOs3Ru, with properties calculated at the GGA-PBE level.

abc: 4.6238 4.6238 4.6238
angles: 90.00 90.00 90.00
Fractional positions:
1 Ru 0.0000 0.0000 0.0000
2 Os 0.0000 0.5000 0.0000
3 Os 0.0000 0.0000 0.5000
4 Os 0.5000 0.0000 0.0000
5 Ti 0.5000 0.5000 0.5000

Summary:
Total energy, eV/atom: -8.18
Space-group type: Pm-3m, No. 221

Below is an optimized crystal structure of CaTlAuSe, with properties calculated at the GGA-PBE level.

abc: 4.5848 4.5842 7.4101
angles: 72.00 71.99 59.89
Fractional positions:
1 Tl 0.7222 0.9786 0.9589
2 Au 0.0020 0.2584 0.1184
3 Ca 0.2458 0.5024 0.3876
4 Se 0.8588 0.1155 0.5498

Summary:
Formation energy without anion corrections, meV per atom: -756
Space-group type: Cm, No. 8

Below is an optimized crystal structure of Na2Tb3AgTe6, with properties calculated at the GGA-PBE level.

abc: 7.6647 7.6647 7.8114
angles: 99.40 99.40 120.01
Fractional positions:
1 Na 0.3340 0.6660 0.0000
2 Na 0.6660 0.3340 0.0000
3 Tb 0.1677 0.8323 0.5000
4 Tb 0.8323 0.1677 0.5000
5 Tb 0.5000 0.5000 0.5000
6 Ag 0.0000 0.0000 0.0000
7 Te 0.9137 0.5857 0.7408
8 Te 0.7592 0.7592 0.2601
9 Te 0.0863 0.4143 0.2592
10 Te 0.5857 0.9137 0.7408
11 Te 0.2408 0.2408 0.7399
12 Te 0.4143 0.0863 0.2592

Summary:
Formation energy without anion corrections, meV per atom: -1153
Space-group type: C2/m, No. 12

Looking at mass density for the records above, in order, we have 6.39; 12.78; 7.21; 6.72; 11.14; 5.24; 11.57; 15.78; 12.68; 4.43; 3.71; 3.83; 12.06; 9.10; 5.91; 10.60; 3.20; 5.96; 6.11; 6.48; 12.09; 6.87; 6.17 Mg/m³.
Looking at magnetic moment for the records above, in order, we have 0.0000; 0.0000; 0.0000; 0.0000; 0.0001; 0.0000; 0.0000; 0.0000; 0.0000; 0.0000; 0.0000; 1.3866; 0.0000; 0.0000; 0.0610; 2.1471; 0.0556; 0.0000; 0.0000; 0.0000; 0.0003; 0.0000; 0.0000 μB/atom.